# MoOs2

MoOs2 at its PBEsol-relaxed geometry (SCAN, Alexandria via LeMat-Bulk).

a b c (Å): 4.3201 4.3201 2.7223
angles (deg): 90.00 90.00 120.00
Closest atoms and distances in Å follow each position.
Sites, in units of the cell vectors:
Mo 0.0000 0.0000 0.0000  2 Mo 2.72, 12 Os 2.84
Os 0.3333 0.6667 0.5000  5 Os 2.49-2.72
Os 0.6667 0.3333 0.5000  5 Os 2.49-2.72

## Properties
For the formation energy, the calculation gives 134 meV/atom. The density of states at the Fermi level is 2.06 states/eV/f.u. The value obtained for the magnetization is 0.00 μB per formula unit. The value obtained for the energy above the most stable polymorph in this dataset is 160 meV per atom. The theoretical density comes out at 17979 kg/m3.